This record from the Alexandria database describes crystalline Al2Se3 at its relaxed geometry. The functional is GGA-PBE.

Unit cell a=16.8417 b=16.8417 c=16.8417 alpha=154.17 beta=154.17 gamma=36.85
Closest atoms and distances in Å follow each position.
Element x y z (fractional)
Al: 0.0000 0.0000 0.0000  6 Se 2.50-2.62
Al: 0.0000 0.0000 0.5000  6 Se 2.50-2.62
Al: 0.0000 0.5000 0.0000  6 Se 2.50-2.62
Al: 0.1456 0.6684 0.4773  6 Se 2.49-2.69
Al: 0.2047 0.4547 0.7500  4 Se 2.43-2.44
Al: 0.3089 0.3316 0.9773  6 Se 2.49-2.69
Al: 0.3316 0.3089 0.4773  6 Se 2.49-2.69
Al: 0.3316 0.8544 0.0227  6 Se 2.49-2.69
Al: 0.4547 0.2047 0.2500  4 Se 2.43-2.44
Al: 0.5000 0.0000 0.5000  6 Se 2.50-2.62
Al: 0.5453 0.7953 0.7500  4 Se 2.43-2.44
Al: 0.6684 0.1456 0.9773  6 Se 2.49-2.69
Al: 0.6684 0.6911 0.5227  6 Se 2.49-2.69
Al: 0.6911 0.6684 0.0227  6 Se 2.49-2.69
Al: 0.7953 0.5453 0.2500  4 Se 2.43-2.44
Al: 0.8544 0.3316 0.5227  6 Se 2.49-2.69
Se: 0.0783 0.0880 0.5097  3 Al 2.49-2.50
Se: 0.0783 0.5686 0.9903  3 Al 2.49-2.50
Se: 0.0880 0.0783 0.0097  3 Al 2.49-2.50
Se: 0.1076 0.5872 0.5205  4 Al 2.44-2.69
Se: 0.2411 0.7495 0.4916  4 Al 2.43-2.62
Se: 0.2421 0.2505 0.9916  4 Al 2.43-2.62
Se: 0.2505 0.2421 0.4916  4 Al 2.43-2.62
Se: 0.2505 0.7589 0.0084  4 Al 2.43-2.62
Se: 0.4128 0.4333 0.5205  4 Al 2.44-2.69
Se: 0.4128 0.8924 0.9795  4 Al 2.44-2.69
Se: 0.4314 0.9217 0.5097  3 Al 2.49-2.50
Se: 0.4333 0.4128 0.0205  4 Al 2.44-2.69
Se: 0.5667 0.5872 0.9795  4 Al 2.44-2.69
Se: 0.5686 0.0783 0.4903  3 Al 2.49-2.50
Se: 0.5872 0.1076 0.0205  4 Al 2.44-2.69
Se: 0.5872 0.5667 0.4795  4 Al 2.44-2.69
Se: 0.7495 0.2411 0.9916  4 Al 2.43-2.62
Se: 0.7495 0.7579 0.5084  4 Al 2.43-2.62
Se: 0.7579 0.7495 0.0084  4 Al 2.43-2.62
Se: 0.7589 0.2505 0.5084  4 Al 2.43-2.62
Se: 0.8924 0.4128 0.4795  4 Al 2.44-2.69
Se: 0.9120 0.9217 0.9903  3 Al 2.49-2.50
Se: 0.9217 0.4314 0.0097  3 Al 2.49-2.50
Se: 0.9217 0.9120 0.4903  3 Al 2.49-2.50

For the energy relative to the elements, uncorrected, the calculation gives -0.823 eV per atom.